(1)
# PBE NiHSe2, relaxed
data_NiHSe2
_chemical_formula_sum 'Ni4 H4 Se8'
_space_group_name_H-M_alt 'P 1'
_space_group_IT_number 1
_space_group_name_Hall 'P 1'
_cell_length_a 16.073
_cell_length_b 5.080
_cell_length_c 5.507
_cell_angle_alpha 90.00
_cell_angle_beta 139.28
_cell_angle_gamma 90.00
loop_
_atom_site_label
_atom_site_type_symbol
_atom_site_fract_x
_atom_site_fract_y
_atom_site_fract_z
_atom_site_occupancy
Ni1 Ni 0.250 0.250 0.250 1
Ni2 Ni 0.750 0.750 0.750 1
Ni3 Ni 0.750 0.250 0.750 1
Ni4 Ni 0.250 0.750 0.250 1
Se1 Se 0.378 0.000 0.806 1
Se2 Se 0.370 0.500 0.226 1
Se3 Se 0.870 0.000 0.726 1
Se4 Se 0.630 0.500 0.774 1
Se5 Se 0.130 0.000 0.274 1
Se6 Se 0.122 0.500 0.694 1
Se7 Se 0.622 0.000 0.194 1
Se8 Se 0.878 0.500 0.306 1
H1 H 0.746 0.500 0.561 1
H2 H 0.246 0.000 0.061 1
H3 H 0.254 0.500 0.439 1
H4 H 0.754 0.000 0.939 1
# **SG**: C2/m
# **Total magnetic moment**: 0.00 μB per formula unit
# **Energy above the most stable polymorph in this dataset**: 97.6 meV/atom

(2)
# PBE TcNiP3, relaxed
data_TcNiP3
_chemical_formula_sum 'Tc1 Ni1 P3'
_space_group_name_H-M_alt 'P 1'
_space_group_IT_number 1
_space_group_name_Hall 'P 1'
_cell_length_a 4.299
_cell_length_b 4.299
_cell_length_c 4.299
_cell_angle_alpha 90.00
_cell_angle_beta 90.00
_cell_angle_gamma 90.00
loop_
_atom_site_label
_atom_site_type_symbol
_atom_site_fract_x
_atom_site_fract_y
_atom_site_fract_z
_atom_site_occupancy
P1 P 0.000 0.000 0.500 1
P2 P 0.000 0.500 0.000 1
P3 P 0.500 0.000 0.000 1
Tc1 Tc 0.500 0.500 0.500 1
Ni1 Ni 0.000 0.000 0.000 1
# **SG**: Pm-3m
# **Total magnetic moment**: 1.01 μB per formula unit
# **Energy of formation**: 861 meV/atom
# **Energy above the most stable polymorph in this dataset**: 0.0 meV/atom

(3)
# PBE AgH4Br, relaxed
data_AgH4Br
_chemical_formula_sum 'Ag2 H8 Br2'
_space_group_name_H-M_alt 'P 1'
_space_group_IT_number 1
_space_group_name_Hall 'P 1'
_cell_length_a 4.888
_cell_length_b 4.803
_cell_length_c 9.461
_cell_angle_alpha 75.35
_cell_angle_beta 89.99
_cell_angle_gamma 89.96
loop_
_atom_site_label
_atom_site_type_symbol
_atom_site_fract_x
_atom_site_fract_y
_atom_site_fract_z
_atom_site_occupancy
H1 H 0.250 0.961 0.420 1
H2 H 0.250 0.119 0.419 1
H3 H 0.750 0.039 0.580 1
H4 H 0.750 0.715 0.913 1
H5 H 0.250 0.126 0.088 1
H6 H 0.750 0.874 0.912 1
H7 H 0.250 0.285 0.087 1
H8 H 0.750 0.881 0.581 1
Br1 Br 0.250 0.399 0.705 1
Br2 Br 0.750 0.601 0.295 1
Ag1 Ag 0.250 0.859 0.786 1
Ag2 Ag 0.750 0.141 0.214 1
# **Raw total energy**: -3.0280 eV/atom
# **SG**: P2_1/m
# **Total magnetic moment**: 0.00 μB per formula unit